Si2AsRu: optimized geometry, GGA-PBE.

abc: 4.374 4.374 4.374
angles: 60.00 60.00 60.00
Sites, in units of the cell vectors:
As  0.500  0.500  0.500
Ru  0.250  0.250  0.250
Si  0.000  0.000  0.000
Si  0.750  0.750  0.750

* raw total energy: -0.218 hartree per atom
* raw formation energy: 251 meV/atom
* total magnetic moment: 0.00 μB/atom
* symmetry: F-43m, No. 216

SiAsRu2: optimized geometry, GGA-PBE.

abc: 2.831 2.831 8.409
angles: 90.00 90.00 115.58
Sites, in units of the cell vectors:
As  0.500  0.500  0.762
Ru  0.000  0.000  0.993
Ru  0.500  0.500  0.266
Si  0.000  0.000  0.479

* raw total energy: -0.251 hartree per atom
* raw formation energy: 326 meV/atom
* total magnetic moment: 0.00 μB/atom
* symmetry: Cmm2, No. 35

Si2AsRu: optimized geometry, GGA-PBE.

abc: 3.929 4.857 3.923
angles: 69.83 81.60 110.21
Sites, in units of the cell vectors:
As  0.000  0.500  0.500
Ru  0.500  0.500  0.000
Si  0.000  0.000  0.000
Si  0.500  0.000  0.500

* raw total energy: -0.219 hartree per atom
* raw formation energy: 242 meV/atom
* total magnetic moment: 0.00 μB/atom
* symmetry: Fmmm, No. 69

SiAsRu2: optimized geometry, GGA-PBE.

abc: 7.904 7.904 7.904
angles: 21.80 21.80 21.80
Sites, in units of the cell vectors:
As  0.747  0.747  0.747
Ru  0.006  0.006  0.006
Ru  0.242  0.242  0.242
Si  0.505  0.505  0.505

* raw total energy: -0.262 hartree per atom
* raw formation energy: 31 meV/atom
* total magnetic moment: 0.00 μB/atom
* symmetry: R3m, No. 160

Si2AsRu: optimized geometry, GGA-PBE.

abc: 4.774 4.774 4.774
angles: 138.06 122.44 73.73
Sites, in units of the cell vectors:
As  0.519  0.519  0.000
Ru  0.228  0.728  0.500
Si  0.993  0.993  0.000
Si  0.760  0.260  0.500

* raw total energy: -0.219 hartree per atom
* raw formation energy: 227 meV/atom
* total magnetic moment: 0.00 μB/atom
* symmetry: Imm2, No. 44

Si2AsRu: optimized geometry, GGA-PBE.

abc: 2.832 2.832 9.151
angles: 90.00 90.00 119.06
Sites, in units of the cell vectors:
As  0.000  0.000  0.537
Ru  0.500  0.500  0.770
Si  0.000  0.000  0.980
Si  0.500  0.500  0.213

* raw total energy: -0.217 hartree per atom
* raw formation energy: 297 meV/atom
* total magnetic moment: 0.00 μB/atom
* symmetry: Cmm2, No. 35

SiAsRu2: optimized geometry, GGA-PBE.

abc: 2.907 2.907 8.018
angles: 90.00 90.00 120.02
Sites, in units of the cell vectors:
As  0.500  0.500  0.750
Ru  0.000  0.000  0.015
Ru  0.000  0.000  0.485
Si  0.500  0.500  0.250

* raw total energy: -0.262 hartree per atom
* raw formation energy: 38 meV/atom
* total magnetic moment: 0.00 μB/atom
* symmetry: Cmmm, No. 65

SiAsRu2: optimized geometry, GGA-PBE.

abc: 3.224 3.224 5.544
angles: 90.00 90.00 90.00
Last column: magnetic moment on the atom in μB.
Sites, in units of the cell vectors:
As  0.500  0.500  0.769  0.01
Ru  0.000  0.000  0.943  0.42
Ru  0.500  0.500  0.316  0.27
Si  0.000  0.000  0.472  0.00

* raw total energy: -0.270 hartree per atom
* raw formation energy: -181 meV/atom
* total magnetic moment: 0.18 μB/atom
* symmetry: P4mm, No. 99

Question: What is the formula in the eighth record?
Answer: SiAsRu2

Question: Number 1 is which compound?
Answer: Si2AsRu

What did the fifth record say?
Si2AsRu: optimized geometry, GGA-PBE.

abc: 4.774 4.774 4.774
angles: 138.06 122.44 73.73
Sites, in units of the cell vectors:
As  0.519  0.519  0.000
Ru  0.228  0.728  0.500
Si  0.993  0.993  0.000
Si  0.760  0.260  0.500

* raw total energy: -0.219 hartree per atom
* raw formation energy: 227 meV/atom
* total magnetic moment: 0.00 μB/atom
* symmetry: Imm2, No. 44

Question: raw formation energy of number 2 (SiAsRu2)?
Answer: 326 meV/atom